Record 1
TaHgW | PBE | optimized geometry

```
TaHgW
1.0
-3.948 5.803 1.460
-3.711 3.744 4.859
5.480 -3.774 -2.669
Ta Hg W
1 1 1
Cartesian
-2.540 3.166 2.095 Ta
-0.007 0.009 0.006 Hg
-5.113 6.373 4.218 W
```

Output
Energy relative to the lowest polymorph listed for this composition in meV per atom: 108
Uncorrected energy in eV/atom: -7.867
Size of the total moment in μB/atom: 0.0000

Record 2
TaHg2W | PBE | optimized geometry

```
TaHg2W
1.0
-2.135 2.334 -2.540
-3.449 -1.486 1.534
-0.053 3.292 3.069
Ta W Hg
1 1 2
Cartesian
-1.094 2.813 0.265 Ta
-1.751 0.903 2.302 W
-2.792 0.424 -0.503 Hg
0.000 0.000 0.000 Hg
```

Output
Energy relative to the lowest polymorph listed for this composition in meV per atom: 215
Uncorrected energy in eV/atom: -5.751
Size of the total moment in μB/atom: 0.0000

Record 3
YTa2Hg | PBE | optimized geometry

```
YTa2Hg
1.0
5.341 0.000 0.000
0.000 3.115 0.014
0.000 0.394 5.248
Y Ta Hg
1 2 1
Cartesian
2.671 0.877 1.315 Y
0.000 3.128 5.254 Ta
0.000 2.136 2.639 Ta
2.671 2.632 3.946 Hg
```

Output
Uncorrected energy in eV/atom: -7.293
Size of the total moment in μB/atom: 0.0000

Record 4
YTaHg2 | PBE | optimized geometry

```
YTaHg2
1.0
10.245 0.009 0.005
9.737 3.185 0.005
9.737 1.556 2.779
Hg Y Ta
2 1 1
Cartesian
14.986 2.395 1.406 Hg
29.592 4.730 2.777 Hg
22.289 3.563 2.092 Y
7.430 1.188 0.697 Ta
```

Output
Energy relative to the lowest polymorph listed for this composition in meV per atom: 147
Uncorrected energy in eV/atom: -4.497
Size of the total moment in μB/atom: 0.0000

Number 1: calculated formation energy 503 meV/atom. Number 2: calculated formation energy 601 meV/atom. Number 3: calculated formation energy 325 meV/atom. Number 4: calculated formation energy 233 meV/atom.